(1)
Al2AgP (meta-GGA SCAN, single point on PBEsol structure); space group = No. 99; Fermi-level density of states = 0.206 states/eV per atom; total energy = -14.3808 eV per atom; calculated formation energy = -0.063 eV/atom
1.0
-0.285 1.637 -3.033
-3.339 0.626 0.652
1.431 4.976 2.551
P Al Ag
1 2 1
Cartesian
0.559 1.944 0.997
1.398 4.861 2.492
-1.363 2.693 -0.391
-0.640 5.205 0.898


(2)
AlAgP (meta-GGA SCAN, single point on PBEsol structure); space group = No. 107; Fermi-level density of states = 0.472 states/eV per atom; total energy = -16.3090 eV per atom; calculated formation energy = 0.197 eV/atom
1.0
-0.708 3.178 0.927
-2.918 -1.047 1.360
3.822 -1.727 2.658
P Al Ag
1 1 1
Cartesian
1.201 -0.395 2.272
-1.021 0.805 2.643
0.016 -0.005 0.030


(3)
AlAg3P (meta-GGA SCAN, single point on PBEsol structure); space group = No. 221; Fermi-level density of states = 0.546 states/eV per atom; total energy = -21.5572 eV per atom; calculated formation energy = 0.893 eV/atom
1.0
4.714 0.000 0.000
0.000 4.714 0.000
0.000 0.000 4.714
P Al Ag
1 1 3
Cartesian
2.357 2.357 2.357
0.000 0.000 0.000
0.000 2.357 0.000
0.000 0.000 2.357
2.357 0.000 0.000


(4)
Al2AgP (meta-GGA SCAN, single point on PBEsol structure); space group = No. 6; Fermi-level density of states = 0.260 states/eV per atom; total energy = -14.4118 eV per atom; calculated formation energy = -0.094 eV/atom
1.0
-2.253 1.435 2.194
1.706 -1.389 2.660
4.392 3.893 -0.784
P Al Ag
1 2 1
Cartesian
1.455 1.770 -0.009
2.205 5.130 1.265
0.889 1.379 2.389
3.631 2.935 1.443


(5)
AlAg3Pb (meta-GGA SCAN, single point on PBEsol structure); space group = No. 221; Fermi-level density of states = 0.197 states/eV per atom; total energy = -34.6971 eV per atom; calculated formation energy = 0.830 eV/atom
1.0
5.214 0.000 0.000
0.000 5.214 0.000
0.000 0.000 5.214
Pb Al Ag
1 1 3
Cartesian
0.000 0.000 0.000
2.607 2.607 2.607
0.000 2.607 0.000
0.000 0.000 2.607
2.607 0.000 0.000


(6)
AlAgPb2 (meta-GGA SCAN, single point on PBEsol structure); space group = No. 166; Fermi-level density of states = 0.319 states/eV per atom; total energy = -47.4649 eV per atom; calculated formation energy = 0.205 eV/atom
1.0
-0.047 -2.868 1.939
2.380 -2.464 -0.497
6.248 2.272 6.603
Pb Al Ag
2 1 1
Cartesian
2.163 -0.752 2.031
6.418 -2.309 6.013
0.000 0.000 0.000
4.291 -1.530 4.022


(7)
Al2AgPd (meta-GGA SCAN, single point on PBEsol structure); space group = No. 225; Fermi-level density of states = 0.165 states/eV per atom; total energy = -20.4884 eV per atom; calculated formation energy = -0.577 eV/atom
1.0
4.377 0.000 0.000
2.188 3.790 0.000
2.188 1.263 3.574
Ag Pd Al
1 1 2
Cartesian
4.377 2.527 1.787
0.000 0.000 0.000
2.188 1.263 0.893
6.565 3.790 2.680


(8)
Al2AgPd2 (meta-GGA SCAN, single point on PBEsol structure); space group = No. 127; Fermi-level density of states = 0.353 states/eV per atom; total energy = -23.2342 eV per atom; calculated formation energy = -0.750 eV/atom
1.0
2.841 0.000 0.000
0.000 7.279 0.000
0.000 0.000 7.279
Ag Pd Al
2 4 4
Cartesian
0.000 0.000 0.000
0.000 3.640 3.640
0.000 2.623 6.263
0.000 6.263 4.656
0.000 4.656 1.016
0.000 1.016 2.623
1.421 1.144 4.783
1.421 4.783 6.136
1.421 6.136 2.496
1.421 2.496 1.144


(9)
Al2AgPdW (meta-GGA SCAN, single point on PBEsol structure); space group = No. 123; Fermi-level density of states = 0.608 states/eV per atom; total energy = -28.9644 eV per atom; calculated formation energy = 0.902 eV/atom
1.0
-2.263 1.852 -3.461
-1.365 -4.117 -1.310
-3.948 0.417 2.804
Pd Ag W Al
1 1 1 2
Cartesian
0.000 0.000 0.000
-3.788 -0.924 -0.984
-1.974 0.208 1.402
-0.683 -2.058 -0.655
-1.131 0.926 -1.730


(10)
PmAlAg2 (meta-GGA SCAN, single point on PBEsol structure); space group = No. 225; Fermi-level density of states = 0.363 states/eV per atom; total energy = -28.9838 eV per atom; calculated formation energy = -0.366 eV/atom
1.0
4.837 0.000 0.000
2.419 4.189 0.000
2.419 1.396 3.949
Al Ag Pm
1 2 1
Cartesian
4.837 2.793 1.975
2.419 1.396 0.987
7.256 4.189 2.962
0.000 0.000 0.000


(11)
PrAl2Ag (meta-GGA SCAN, single point on PBEsol structure); space group = No. 166; Fermi-level density of states = 0.567 states/eV per atom; total energy = -23.0379 eV per atom; calculated formation energy = -0.489 eV/atom
1.0
-2.710 4.713 1.471
-5.010 1.196 -2.279
-6.595 -2.387 6.284
Pr Al Ag
3 6 3
Cartesian
-9.430 4.056 1.978
-4.885 -0.535 3.497
0.000 0.000 0.000
-4.834 1.861 1.219
-7.379 2.468 0.061
-6.211 4.255 1.966
-9.480 1.661 4.256
-6.936 1.053 5.414
-8.104 -0.733 3.509
-5.172 3.912 -0.499
-9.143 -0.391 5.974
-7.157 1.761 2.738


(12)
Al2AgPt (meta-GGA SCAN, single point on PBEsol structure); space group = No. 25; energy above the lowest structure with this stoichiometry = 0.0 kJ/mol of formula units; Fermi-level density of states = 0.266 states/eV per atom; total energy = -29.8729 eV per atom; calculated formation energy = -0.607 eV/atom
1.0
2.875 0.000 0.000
0.000 4.494 0.000
0.000 0.000 4.698
Ag Pt Al
1 1 2
Cartesian
1.438 3.338 2.349
0.000 2.252 0.000
1.438 0.071 0.000
0.000 1.080 2.349